# Cd8PdPt2

Cd8PdPt2 after structural relaxation (GGA-PBE, Alexandria via LeMat-Bulk).

Summary:
The calculation puts the formation energy at -0.25 eV per atom. The total energy comes out at -2.4844 eV per atom. The space-group type is Immm.

Unit cell a=4.4433 b=7.6954 c=7.7465 alpha=119.79 beta=106.67 gamma=90.00
Fractional positions:
Cd 0.3471 0.5643 0.6942
Cd 0.6529 0.8701 0.3058
Cd 0.8540 0.8540 0.7080
Cd 0.0000 0.3107 0.0000
Cd 0.1460 0.1460 0.2920
Cd 0.3471 0.1299 0.6942
Cd 0.6529 0.4357 0.3058
Cd 0.0000 0.6893 0.0000
Pd 0.5000 0.0000 0.0000
Pt 0.7998 0.2998 0.5996
Pt 0.2002 0.7002 0.4004



# Cd3Pd4Pt2

Cd3Pd4Pt2 after structural relaxation (GGA-PBE, Alexandria via LeMat-Bulk).

Summary:
The distance to the lowest polymorph of the same formula is 0.0141 eV/atom. The calculation puts the formation energy at -0.20 eV per atom. The total energy comes out at -4.1557 eV per atom. The space-group type is C2/c.

Unit cell a=7.3861 b=7.7712 c=7.3861 alpha=59.74 beta=104.83 gamma=120.26
Fractional positions:
Cd 0.9850 0.0262 0.2709
Cd 0.2709 0.4738 0.9850
Cd 0.0150 0.9738 0.7291
Cd 0.7291 0.5262 0.0150
Cd 0.5169 0.2500 0.5169
Cd 0.4831 0.7500 0.4831
Pd 0.2121 0.4066 0.3739
Pd 0.3739 0.0934 0.2121
Pd 0.7879 0.5934 0.6261
Pd 0.6261 0.9066 0.7879
Pd 0.7901 0.1951 0.3739
Pd 0.3739 0.3049 0.7902
Pd 0.2099 0.8049 0.6261
Pd 0.6261 0.6951 0.2098
Pt 0.9831 0.3354 0.6970
Pt 0.6970 0.1646 0.9831
Pt 0.0169 0.6646 0.3030
Pt 0.3030 0.8354 0.0169



# Cd3PdPt3

Cd3PdPt3 after structural relaxation (GGA-PBE, Alexandria via LeMat-Bulk).

Summary:
The calculation puts the formation energy at -0.19 eV per atom. The total energy comes out at -3.9122 eV per atom. The space-group type is C2/m.

Unit cell a=5.8911 b=5.8911 c=7.6397 alpha=90.75 beta=90.76 gamma=79.31
Fractional positions:
Cd 0.2386 0.2386 0.5607
Cd 0.2747 0.7253 0.5000
Cd 0.7253 0.2747 0.5000
Cd 0.2888 0.7112 0.0000
Cd 0.7112 0.2888 0.0000
Cd 0.7614 0.7614 0.4393
Pd 0.2387 0.2387 0.9472
Pd 0.7613 0.7613 0.0528
Pt 0.9781 0.9781 0.7580
Pt 0.4695 0.0867 0.2484
Pt 0.0867 0.4695 0.2484
Pt 0.5305 0.9133 0.7516
Pt 0.9133 0.5305 0.7516
Pt 0.0219 0.0219 0.2420



# Cd5Pd4Pt

Cd5Pd4Pt after structural relaxation (GGA-PBE, Alexandria via LeMat-Bulk).

Summary:
The calculation puts the formation energy at -0.37 eV per atom. The total energy comes out at -3.5132 eV per atom. The space-group type is P4/mmm.

Unit cell a=3.3787 b=3.3787 c=15.3810 alpha=90.00 beta=90.00 gamma=90.00
Fractional positions:
Cd 0.5000 0.5000 0.1000
Cd 0.5000 0.5000 0.2996
Cd 0.5000 0.5000 0.5000
Cd 0.5000 0.5000 0.7004
Cd 0.5000 0.5000 0.9000
Pd 0.0000 0.0000 0.1999
Pd 0.0000 0.0000 0.3999
Pd 0.0000 0.0000 0.6001
Pd 0.0000 0.0000 0.8001
Pt 0.0000 0.0000 0.0000